# 1
Below is crystalline Hg2IrRh at its relaxed geometry, with properties calculated at the PBE level.

Summary:
polymorph energy (0 for the lowest one) = 247 meV per atom
energy relative to the elements = 0.5400 eV per atom
electronic total energy = -14.656 eV per cell

abc: 4.6415 4.6415 4.6415
angles: 60.00 60.00 60.00
Last column: nearest neighbours and their distance in Å.
Atoms (fractional coordinates):
Hg (0.0000, 0.0000, 0.0000)  4 Rh 2.84, 4 Hg 2.84
Hg (0.7500, 0.7500, 0.7500)  4 Ir 2.84, 4 Hg 2.84
Ir (0.5000, 0.5000, 0.5000)  4 Hg 2.84, 4 Rh 2.84
Rh (0.2500, 0.2500, 0.2500)  4 Ir 2.84, 4 Hg 2.84

***

# 2
Below is crystalline HfTi3Sb2 at its relaxed geometry, with properties calculated at the PBE level.

Summary:
polymorph energy (0 for the lowest one) = 144 meV per atom
ΔE_f (raw) = -327 meV/atom
electronic total energy = -87.693 eV per cell

abc: 3.7057 9.3348 8.5342
angles: 122.98 90.00 101.45
Last column: nearest neighbours and their distance in Å.
Atoms (fractional coordinates):
Hf (0.8884, 0.7767, 0.8849)  6 Sb 2.91-3.00, 2 Ti 3.14
Hf (0.1116, 0.2233, 0.1151)  6 Sb 2.91-3.00, 2 Ti 3.14
Ti (0.3147, 0.6294, 0.5304)  4 Sb 2.78-2.92, 4 Ti 2.82-2.94
Ti (0.9385, 0.8770, 0.5270)  1 Ti 2.54, 2 Sb 2.73
Ti (0.6502, 0.3004, 0.8267)  4 Sb 2.77-2.90
Ti (0.3498, 0.6996, 0.1733)  4 Sb 2.77-2.90
Ti (0.0615, 0.1230, 0.4730)  1 Ti 2.54, 2 Sb 2.73
Ti (0.6853, 0.3706, 0.4696)  4 Sb 2.78-2.92, 4 Ti 2.82-2.94
Sb (0.4937, 0.9873, 0.8066)  4 Ti 2.73-2.78, 4 Hf 2.95-3.00
Sb (0.5063, 0.0127, 0.1934)  4 Ti 2.73-2.78, 4 Hf 2.95-3.00
Sb (0.7560, 0.5120, 0.2360)  7 Ti 2.77-2.92, 2 Hf 2.91
Sb (0.2440, 0.4880, 0.7640)  7 Ti 2.77-2.92, 2 Hf 2.91

***

> Look up the polymorph energy (0 for the lowest one) of the first one.

247 meV per atom

***

> What is the electronic total energy in the second record?

-87.693 eV per cell